[1]
This record from the Alexandria database describes a relaxed structure of GeIrF. The functional is PBE-GGA. Values from VASP.

Output
DOS at the Fermi energy: 0.24 states/eV per atom
ΔE_f (raw): -0.440 eV per atom
ΔE to the lowest computed polymorph: 0.532 eV/atom
Symmetry: P1, No. 1

Structure (Quantum ESPRESSO input):
```
&SYSTEM
  ibrav = 0, nat = 3, ntyp = 3
/
ATOMIC_SPECIES
Ge 72.64 Ge.upf
Ir 192.22 Ir.upf
F 19.00 F.upf
CELL_PARAMETERS angstrom
-0.401 -1.855 2.172
3.171 1.493 2.010
-0.605 2.817 2.891
ATOMIC_POSITIONS crystal
Ge 0.667 0.901 0.334
Ir 0.376 0.562 0.022
F 0.202 0.231 0.684
```

[2]
This record from the Alexandria database describes a relaxed structure of GeIrF. The functional is PBE-GGA. Values from VASP.

Output
DOS at the Fermi energy: 0.13 states/eV per atom
ΔE_f (raw): -0.972 eV per atom
ΔE to the lowest computed polymorph: 0.000 eV/atom
Symmetry: P4/nmm, No. 129

Structure (Quantum ESPRESSO input):
```
&SYSTEM
  ibrav = 0, nat = 6, ntyp = 3
/
ATOMIC_SPECIES
Ge 72.64 Ge.upf
Ir 192.22 Ir.upf
F 19.00 F.upf
CELL_PARAMETERS angstrom
4.128 0.000 0.000
0.000 4.128 0.000
0.000 0.000 6.361
ATOMIC_POSITIONS crystal
Ge 0.000 0.500 0.297
Ge 0.500 0.000 0.703
Ir 0.000 0.000 0.500
Ir 0.500 0.500 0.500
F 0.000 0.500 0.020
F 0.500 0.000 0.980
```

[3]
This record from the Alexandria database describes a relaxed structure of GeIrF. The functional is PBE-GGA. Values from VASP.

Output
DOS at the Fermi energy: 0.38 states/eV per atom
ΔE_f (raw): -0.743 eV per atom
ΔE to the lowest computed polymorph: 0.229 eV/atom
Symmetry: Amm2, No. 38

Structure (Quantum ESPRESSO input):
```
&SYSTEM
  ibrav = 0, nat = 12, ntyp = 3
/
ATOMIC_SPECIES
Ge 72.64 Ge.upf
Ir 192.22 Ir.upf
F 19.00 F.upf
CELL_PARAMETERS angstrom
-0.699 -2.569 -2.983
-1.957 -1.350 1.621
-12.249 10.424 -6.110
ATOMIC_POSITIONS crystal
Ge 0.124 0.000 0.287
Ge 0.124 0.500 0.787
Ge 0.124 0.000 0.109
Ge 0.124 0.500 0.609
Ir 0.624 0.000 0.188
Ir 0.624 0.500 0.688
Ir 0.624 0.000 0.824
Ir 0.624 0.500 0.324
F 0.624 0.000 0.938
F 0.624 0.500 0.438
F 0.124 0.000 0.531
F 0.124 0.500 0.031
```

[4]
This record from the Alexandria database describes a relaxed structure of GeIrN2F. The functional is PBE-GGA. Values from VASP.

Output
DOS at the Fermi energy: 0.78 states/eV per atom
ΔE_f (raw): 0.983 eV per atom
ΔE to the lowest computed polymorph: 0.489 eV/atom
Symmetry: P4/mmm, No. 123

Structure (Quantum ESPRESSO input):
```
&SYSTEM
  ibrav = 0, nat = 5, ntyp = 4
/
ATOMIC_SPECIES
N 14.01 N.upf
Ge 72.64 Ge.upf
Ir 192.22 Ir.upf
F 19.00 F.upf
CELL_PARAMETERS angstrom
3.884 0.000 0.000
0.000 3.884 0.000
0.000 0.000 3.599
ATOMIC_POSITIONS crystal
N 0.000 0.500 0.000
N 0.500 0.000 0.000
Ge 0.000 0.000 0.000
Ir 0.500 0.500 0.500
F 0.000 0.000 0.500
```

- ΔE to the lowest computed polymorph of number 1 (GeIrF)?
  0.532 eV/atom